(1)
# SrAlRh2

An optimized crystal structure of SrAlRh2 (GGA-PBE, the Alexandria database).

Calculated values
Formation enthalpy at 0 K (meV/atom): -375
M_tot (μB per atom): 0.00

Cell lengths 7.2335, 4.1816, 6.1879 Å; angles 90.00, 113.33, 90.00 degrees
With the nearest neighbours (Å) after each atom.
Space group Cm (No. 8)
Unique sites:
Sr1 0.0000 0.0000 0.0000 [2 per cell]  7 Rh 3.12-3.41, 4 Al 3.16-3.49
Al1 0.3170 0.5000 0.4441 [2 per cell]  6 Rh 2.47-2.57
Rh1 0.2028 0.0000 0.5996 [2 per cell]  3 Al 2.57, 3 Rh 2.80
Rh2 0.4514 0.0000 0.3496 [2 per cell]  3 Al 2.47

***

(2)
# SrAl11Rh

An optimized crystal structure of SrAl11Rh (GGA-PBE, the Alexandria database).

Calculated values
Formation enthalpy at 0 K (meV/atom): -254
M_tot (μB per atom): 0.00

Cell lengths 5.2128, 12.8441, 7.2991 Å; angles 90.00, 108.79, 90.00 degrees
With the nearest neighbours (Å) after each atom.
Space group C2/m (No. 12)
Unique sites:
Sr1 0.0000 0.0000 0.0000 [2 per cell]  18 Al 3.35-3.65, 2 Rh 3.74
Al1 0.0000 0.0000 0.5000 [2 per cell]  2 Rh 2.61, 8 Al 2.71-2.76
Al2 0.1131 0.3891 0.2339 [8 per cell]  1 Rh 2.62, 8 Al 2.71-2.93
Al3 0.1826 0.1752 0.3604 [8 per cell]  8 Al 2.72-3.02, 1 Rh 2.78
Al4 0.2500 0.2500 0.0000 [4 per cell]  6 Al 2.61-2.76
Rh1 0.0000 0.5000 0.5000 [2 per cell]  10 Al 2.61-2.78

***

(3)
# Sr2Al2Rh

An optimized crystal structure of Sr2Al2Rh (GGA-PBE, the Alexandria database).

Calculated values
Formation enthalpy at 0 K (meV/atom): -184
M_tot (μB per atom): 0.00
Energy above the most stable polymorph in this dataset (meV/atom): 261

Cell lengths 6.9025, 6.9025, 5.2656 Å; angles 90.00, 90.00, 90.00 degrees
With the nearest neighbours (Å) after each atom.
Space group P4/mbm (No. 127)
Unique sites:
Sr1 0.1827 0.3173 0.0000 [4 per cell]  6 Al 3.14-3.47
Al1 0.1413 0.6413 0.5000 [4 per cell]  2 Rh 2.66, 1 Al 2.76
Rh1 0.0000 0.0000 0.5000 [2 per cell]  4 Al 2.66

***

(4)
# SrAlRh

An optimized crystal structure of SrAlRh (GGA-PBE, the Alexandria database).

Calculated values
Formation enthalpy at 0 K (meV/atom): 720
M_tot (μB per atom): 0.00

Cell lengths 6.9031, 6.9031, 6.9031 Å; angles 90.00, 90.00, 90.00 degrees
With the nearest neighbours (Å) after each atom.
Space group F-43m (No. 216)
Unique sites:
Sr1 0.0000 0.0000 0.0000 [4 per cell]  4 Al 2.99, 4 Rh 2.99
Al1 0.2500 0.2500 0.2500 [4 per cell]  4 Sr 2.99
Rh1 0.2500 0.2500 0.7500 [4 per cell]  4 Sr 2.99

***

(5)
# SrAlRh2

An optimized crystal structure of SrAlRh2 (GGA-PBE, the Alexandria database).

Calculated values
Formation enthalpy at 0 K (meV/atom): -39
M_tot (μB per atom): 0.00

Cell lengths 4.6333, 3.1197, 5.5903 Å; angles 90.00, 114.23, 90.00 degrees
With the nearest neighbours (Å) after each atom.
Space group P2/m (No. 10)
Unique sites:
Sr1 0.0000 0.0000 0.0000 [1 per cell]  6 Rh 2.79-2.80, 2 Sr 3.12
Al1 0.0000 0.5000 0.5000 [1 per cell]  6 Rh 2.79-2.80, 2 Al 3.12
Rh1 0.5000 0.0000 0.5000 [1 per cell]  4 Al 2.79, 2 Sr 2.80, 2 Rh 3.12
Rh2 0.5000 0.5000 0.0000 [1 per cell]  4 Sr 2.79, 2 Al 2.80, 2 Rh 3.12

***

(6)
# Sr2Al9Rh3

An optimized crystal structure of Sr2Al9Rh3 (GGA-PBE, the Alexandria database).

Calculated values
Formation enthalpy at 0 K (meV/atom): -640
M_tot (μB per atom): 0.00

Cell lengths 13.3303, 7.6075, 10.8855 Å; angles 90.00, 114.26, 90.00 degrees
With the nearest neighbours (Å) after each atom.
Space group C2/c (No. 15)
Unique sites:
Sr1 0.1692 0.0833 0.2488 [8 per cell]  11 Al 3.13-3.26, 1 Rh 3.50
Al1 0.0000 0.3743 0.2500 [4 per cell]  2 Rh 2.68, 4 Al 2.71-2.86
Al2 0.0608 0.0883 0.9307 [8 per cell]  3 Rh 2.62-2.63, 4 Al 2.75-2.92
Al3 0.0964 0.4172 0.0456 [8 per cell]  3 Rh 2.62-2.63, 3 Al 2.66-2.75
Al4 0.1007 0.3171 0.7477 [8 per cell]  2 Rh 2.67-2.70, 6 Al 2.71-2.97
Al5 0.2244 0.4190 0.4357 [8 per cell]  3 Rh 2.60-2.65, 4 Al 2.75-2.87
Rh1 0.0851 0.2440 0.5007 [8 per cell]  8 Al 2.61-2.68
Rh2 0.2500 0.2500 0.0000 [4 per cell]  8 Al 2.60-2.70

***

(7)
# SrAl2Rh

An optimized crystal structure of SrAl2Rh (GGA-PBE, the Alexandria database).

Calculated values
Formation enthalpy at 0 K (meV/atom): -369
M_tot (μB per atom): 0.00

Cell lengths 3.3353, 3.3353, 7.4164 Å; angles 90.00, 90.00, 90.00 degrees
With the nearest neighbours (Å) after each atom.
Space group P4mm (No. 99)
Unique sites:
Sr1 0.0000 0.0000 0.0000 [1 per cell]  5 Al 3.30-3.42, 4 Rh 3.31, 4 Sr 3.34
Al1 0.0000 0.0000 0.5555 [1 per cell]  4 Rh 2.55
Al2 0.5000 0.5000 0.3341 [1 per cell]  1 Rh 2.61, 4 Al 2.87
Rh1 0.5000 0.5000 0.6863 [1 per cell]  5 Al 2.55-2.61

***

(8)
# Sr2AlRh

An optimized crystal structure of Sr2AlRh (GGA-PBE, the Alexandria database).

Calculated values
Formation enthalpy at 0 K (meV/atom): 38
M_tot (μB per atom): 0.00

Cell lengths 7.2938, 7.2938, 7.2938 Å; angles 90.00, 90.00, 90.00 degrees
With the nearest neighbours (Å) after each atom.
Space group F-43m (No. 216)
Unique sites:
Sr1 0.0000 0.0000 0.0000 [4 per cell]  4 Sr 3.16, 4 Rh 3.16
Sr2 0.2500 0.2500 0.2500 [4 per cell]  4 Al 3.16, 4 Sr 3.16
Al1 0.0000 0.0000 0.5000 [4 per cell]  4 Rh 3.16, 4 Sr 3.16
Rh1 0.2500 0.2500 0.7500 [4 per cell]  4 Al 3.16, 4 Sr 3.16

***

(9)
# Sr2AlRh

An optimized crystal structure of Sr2AlRh (GGA-PBE, the Alexandria database).

Calculated values
Formation enthalpy at 0 K (meV/atom): 145
M_tot (μB per atom): 0.00

Cell lengths 3.7908, 3.7908, 28.2321 Å; angles 90.00, 90.00, 120.00 degrees
With the nearest neighbours (Å) after each atom.
Space group R-3m (No. 166, hexagonal axes)
Unique sites:
Sr1 0.0000 0.0000 0.2389 [6 per cell]  3 Rh 2.99
Al1 0.0000 0.0000 0.0000 [3 per cell]  6 Sr 3.45, 6 Al 3.79
Rh1 0.0000 0.0000 0.5000 [3 per cell]  6 Sr 2.99

***

(10)
# SrAl6Rh2

An optimized crystal structure of SrAl6Rh2 (GGA-PBE, the Alexandria database).

Calculated values
Formation enthalpy at 0 K (meV/atom): -444
M_tot (μB per atom): 0.00

Cell lengths 11.1557, 7.9732, 4.3856 Å; angles 90.00, 113.05, 90.00 degrees
With the nearest neighbours (Å) after each atom.
Space group C2/m (No. 12)
Unique sites:
Sr1 0.0000 0.0000 0.0000 [2 per cell]  2 Rh 3.02
Al1 0.0000 0.3334 0.5000 [4 per cell]  2 Rh 2.49, 3 Al 2.66-2.77
Al2 0.2355 0.1637 0.7359 [8 per cell]  4 Al 2.60-2.77, 3 Rh 2.62-2.70
Rh1 0.2054 0.5000 0.7046 [4 per cell]  8 Al 2.49-2.70

***

(11)
# SrAl2Rh

An optimized crystal structure of SrAl2Rh (GGA-PBE, the Alexandria database).

Calculated values
Formation enthalpy at 0 K (meV/atom): -612
M_tot (μB per atom): 0.00

Cell lengths 15.6650, 7.1981, 6.0473 Å; angles 90.00, 90.00, 90.00 degrees
With the nearest neighbours (Å) after each atom.
Space group Pnma (No. 62)
Unique sites:
Sr1 0.0988 0.2500 0.1951 [4 per cell]  2 Rh 3.07-3.28, 6 Al 3.28-3.42
Sr2 0.1308 0.7500 0.0128 [4 per cell]  3 Rh 3.04-3.28, 4 Al 3.29-3.32
Al1 0.0527 0.0649 0.6755 [8 per cell]  3 Rh 2.54-2.63, 2 Al 2.66-2.77
Al2 0.2098 0.5540 0.5205 [8 per cell]  3 Rh 2.58-2.62, 2 Al 2.77-2.82
Rh1 0.0724 0.7500 0.4923 [4 per cell]  6 Al 2.54-2.58
Rh2 0.1942 0.2500 0.7524 [4 per cell]  6 Al 2.61-2.63

***

(12)
# SrAl2Rh

An optimized crystal structure of SrAl2Rh (GGA-PBE, the Alexandria database).

Calculated values
Formation enthalpy at 0 K (meV/atom): -209
M_tot (μB per atom): 0.00

Cell lengths 3.7508, 5.4769, 8.6425 Å; angles 90.00, 90.00, 90.00 degrees
With the nearest neighbours (Å) after each atom.
Space group Immm (No. 71)
Unique sites:
Sr1 0.0000 0.0000 0.0000 [2 per cell]  8 Al 3.20-3.26, 4 Rh 3.32
Al1 0.0000 0.5000 0.1918 [4 per cell]  2 Rh 2.50
Rh1 0.0000 0.0000 0.5000 [2 per cell]  4 Al 2.50

***

(13)
# SrAl2Rh2

An optimized crystal structure of SrAl2Rh2 (GGA-PBE, the Alexandria database).

Calculated values
Formation enthalpy at 0 K (meV/atom): -737
M_tot (μB per atom): 0.00

Cell lengths 4.4129, 4.4129, 10.1918 Å; angles 90.00, 90.00, 90.00 degrees
With the nearest neighbours (Å) after each atom.
Space group I4/mmm (No. 139)
Unique sites:
Sr1 0.0000 0.0000 0.0000 [2 per cell]  8 Rh 3.37, 10 Al 3.44-3.64
Al1 0.0000 0.0000 0.3569 [4 per cell]  4 Rh 2.46
Rh1 0.0000 0.5000 0.2500 [4 per cell]  4 Al 2.46

***

(14)
# SrAlRh

An optimized crystal structure of SrAlRh (GGA-PBE, the Alexandria database).

Calculated values
Formation enthalpy at 0 K (meV/atom): -513
M_tot (μB per atom): 0.00

Cell lengths 4.2466, 4.2466, 4.6880 Å; angles 90.00, 90.00, 120.00 degrees
With the nearest neighbours (Å) after each atom.
Space group P-6m2 (No. 187)
Unique sites:
Sr1 0.0000 0.0000 0.0000 [1 per cell]  6 Rh 3.39, 6 Al 3.39
Al1 0.6667 0.3333 0.5000 [1 per cell]  3 Rh 2.45
Rh1 0.3333 0.6667 0.5000 [1 per cell]  3 Al 2.45

***

(15)
# SrAl10Rh2

An optimized crystal structure of SrAl10Rh2 (GGA-PBE, the Alexandria database).

Calculated values
Formation enthalpy at 0 K (meV/atom): -507
M_tot (μB per atom): 0.00

Cell lengths 9.1579, 10.3982, 9.2105 Å; angles 90.00, 90.00, 90.00 degrees
With the nearest neighbours (Å) after each atom.
Space group Cmcm (No. 63)
Unique sites:
Sr1 0.0000 0.1228 0.2500 [4 per cell]  14 Al 3.23-3.34, 4 Rh 3.51
Al1 0.0000 0.1619 0.6022 [8 per cell]  2 Rh 2.64, 8 Al 2.69-2.91
Al2 0.0000 0.3801 0.0543 [8 per cell]  6 Al 2.69-2.85, 2 Rh 2.71
Al3 0.1464 0.3733 0.7500 [8 per cell]  7 Al 2.68-2.91, 2 Rh 2.80
Al4 0.2250 0.0000 0.0000 [8 per cell]  2 Rh 2.61, 8 Al 2.73-2.90
Al5 0.2268 0.3656 0.2500 [8 per cell]  2 Rh 2.61, 8 Al 2.73-2.86
Rh1 0.2500 0.2500 0.0000 [8 per cell]  10 Al 2.61-2.80

***

(16)
# Sr2AlRh

An optimized crystal structure of Sr2AlRh (GGA-PBE, the Alexandria database).

Calculated values
Formation enthalpy at 0 K (meV/atom): -367
M_tot (μB per atom): 0.00

Cell lengths 4.3312, 4.7249, 11.6858 Å; angles 90.00, 90.00, 90.00 degrees
With the nearest neighbours (Å) after each atom.
Space group Amm2 (No. 38)
Unique sites:
Sr1 0.0000 0.0000 0.0000 [2 per cell]  3 Al 3.26-3.59, 4 Rh 3.39
Sr2 0.5000 0.0000 0.2835 [2 per cell]  2 Rh 3.23, 4 Al 3.38
Al1 0.0000 0.0000 0.6925 [2 per cell]  2 Rh 2.45
Rh1 0.5000 0.0000 0.5947 [2 per cell]  2 Al 2.45

***

(17)
# SrAl2Rh2

An optimized crystal structure of SrAl2Rh2 (GGA-PBE, the Alexandria database).

Calculated values
Formation enthalpy at 0 K (meV/atom): -652
M_tot (μB per atom): 0.00

Cell lengths 7.6710, 7.6710, 2.9595 Å; angles 90.00, 90.00, 90.00 degrees
With the nearest neighbours (Å) after each atom.
Space group P4/mbm (No. 127)
Unique sites:
Sr1 0.0000 0.0000 0.0000 [2 per cell]  4 Rh 2.92, 2 Sr 2.96
Al1 0.1345 0.3655 0.5000 [4 per cell]  6 Rh 2.64-2.76, 1 Al 2.92
Rh1 0.1505 0.6505 0.0000 [4 per cell]  6 Al 2.64-2.76, 2 Sr 2.92

***

(18)
# SrAl3Rh

An optimized crystal structure of SrAl3Rh (GGA-PBE, the Alexandria database).

Calculated values
Formation enthalpy at 0 K (meV/atom): -550
M_tot (μB per atom): 0.00

Cell lengths 4.4064, 4.4064, 10.7866 Å; angles 90.00, 90.00, 90.00 degrees
With the nearest neighbours (Å) after each atom.
Space group P4/nmm (No. 129, origin choice 2)
Unique sites:
Sr1 0.2500 0.2500 0.1303 [2 per cell]  8 Al 3.25-3.39
Al1 0.2500 0.2500 0.7827 [2 per cell]  4 Al 2.75, 1 Rh 3.02
Al2 0.2500 0.7500 0.3695 [4 per cell]  4 Rh 2.60-2.63, 3 Al 2.75-2.82
Rh1 0.2500 0.2500 0.5023 [2 per cell]  8 Al 2.60-2.63

***

(19)
# SrAlRh2

An optimized crystal structure of SrAlRh2 (GGA-PBE, the Alexandria database).

Calculated values
Formation enthalpy at 0 K (meV/atom): -197
M_tot (μB per atom): 0.00

Cell lengths 3.1245, 4.6541, 10.1525 Å; angles 90.00, 90.00, 90.00 degrees
With the nearest neighbours (Å) after each atom.
Space group Imm2 (No. 44)
Unique sites:
Sr1 0.0000 0.0000 0.0000 [2 per cell]  4 Rh 2.81, 2 Sr 3.12
Al1 0.0000 0.5000 0.2171 [2 per cell]  6 Rh 2.56-2.86
Rh1 0.0000 0.0000 0.5171 [2 per cell]  2 Al 2.56, 4 Sr 2.81
Rh2 0.0000 0.5000 0.7736 [2 per cell]  4 Al 2.86, 4 Rh 2.92-3.12, 2 Sr 3.19

***

(20)
# SrAl2Rh

An optimized crystal structure of SrAl2Rh (GGA-PBE, the Alexandria database).

Calculated values
Formation enthalpy at 0 K (meV/atom): -354
M_tot (μB per atom): 0.00

Cell lengths 3.1983, 3.9711, 6.9457 Å; angles 90.00, 90.00, 90.00 degrees
With the nearest neighbours (Å) after each atom.
Space group Pmm2 (No. 25)
Unique sites:
Sr1 0.0000 0.0000 0.0000 [1 per cell]  2 Sr 3.20, 6 Al 3.34-3.40, 2 Rh 3.39
Al1 0.5000 0.0000 0.4325 [1 per cell]  4 Rh 2.56, 2 Al 2.67
Al2 0.5000 0.5000 0.6904 [1 per cell]  2 Rh 2.60, 2 Al 2.67
Rh1 0.0000 0.5000 0.3961 [1 per cell]  6 Al 2.56-2.60

***

(21)
# SrAl2Rh

An optimized crystal structure of SrAl2Rh (GGA-PBE, the Alexandria database).

Calculated values
Formation enthalpy at 0 K (meV/atom): -448
M_tot (μB per atom): 0.00

Cell lengths 3.2128, 3.2128, 7.7303 Å; angles 90.00, 90.00, 90.00 degrees
With the nearest neighbours (Å) after each atom.
Space group P4/mmm (No. 123)
Unique sites:
Sr1 0.0000 0.0000 0.0000 [1 per cell]  4 Sr 3.21, 8 Al 3.38
Al1 0.5000 0.5000 0.3240 [2 per cell]  4 Rh 2.65, 1 Al 2.72
Rh1 0.0000 0.0000 0.5000 [1 per cell]  8 Al 2.65

***

(22)
# SrAlRh

An optimized crystal structure of SrAlRh (GGA-PBE, the Alexandria database).

Calculated values
Formation enthalpy at 0 K (meV/atom): -429
M_tot (μB per atom): 0.00

Cell lengths 3.3270, 3.3270, 11.6438 Å; angles 90.00, 90.00, 90.00 degrees
With the nearest neighbours (Å) after each atom.
Space group I4mm (No. 107)
Unique sites:
Sr1 0.0000 0.0000 0.0000 [2 per cell]  5 Al 3.28-3.47, 5 Rh 3.29-3.53, 4 Sr 3.33
Al1 0.0000 0.0000 0.7186 [2 per cell]  4 Rh 2.55
Rh1 0.0000 0.0000 0.3030 [2 per cell]  4 Al 2.55

***

(23)
# Sr2AlRh

An optimized crystal structure of Sr2AlRh (GGA-PBE, the Alexandria database).

Calculated values
Formation enthalpy at 0 K (meV/atom): -457
M_tot (μB per atom): 0.00

Cell lengths 7.4489, 4.2934, 8.6257 Å; angles 90.00, 106.46, 90.00 degrees
With the nearest neighbours (Å) after each atom.
Space group Cm (No. 8)
Unique sites:
Sr1 0.0000 0.0000 0.0000 [2 per cell]  3 Al 3.31, 3 Rh 3.31-3.32
Sr2 0.1740 0.0000 0.5308 [2 per cell]  3 Rh 3.31, 3 Al 3.31-3.32
Al1 0.4201 0.0000 0.2652 [2 per cell]  3 Rh 2.48
Rh1 0.2535 0.5000 0.2661 [2 per cell]  3 Al 2.48